1.
! CdFeSeN2 PBE relaxed; values from VASP
&SYSTEM
  ibrav = 0, nat = 5, ntyp = 4
/
ATOMIC_SPECIES
Fe 55.84 Fe.upf
N 14.01 N.upf
Cd 112.41 Cd.upf
Se 78.96 Se.upf
CELL_PARAMETERS angstrom
4.136 0.000 0.000
0.000 4.136 0.000
0.000 0.000 5.973
ATOMIC_POSITIONS crystal
Fe 0.500 0.500 0.500
N 0.500 0.000 0.000
N 0.000 0.500 0.000
Cd 0.000 0.000 0.000
Se 0.000 0.000 0.500
! Energy above the lowest structure with this stoichiometry   119.27 kJ/mol of atoms
! Electronic total energy   -3.9785 eV/atom
! Uncorrected formation energy   1.92 eV per atom
! DOS(E_F)   4.342 states/eV per cell



2.
! Tl4FeAs PBE relaxed; values from VASP
&SYSTEM
  ibrav = 0, nat = 6, ntyp = 3
/
ATOMIC_SPECIES
Tl 204.38 Tl.upf
Fe 55.84 Fe.upf
As 74.92 As.upf
CELL_PARAMETERS angstrom
0.000 4.425 4.425
4.425 0.000 4.425
4.425 4.425 0.000
ATOMIC_POSITIONS crystal
Tl 0.375 0.874 0.375
Tl 0.375 0.375 0.375
Fe 0.000 0.000 0.000
As 0.750 0.750 0.750
Tl 0.375 0.375 0.874
Tl 0.874 0.375 0.375
! Energy of formation   0.78 eV/atom
! Electronic total energy   -2.9822 eV/atom
! DOS(E_F)   6.493 states/eV per cell



3.
! ZnCuCl2 PBE relaxed; values from VASP
&SYSTEM
  ibrav = 0, nat = 4, ntyp = 3
/
ATOMIC_SPECIES
Cl 35.45 Cl.upf
Cu 63.55 Cu.upf
Zn 65.41 Zn.upf
CELL_PARAMETERS angstrom
5.630 0.327 -0.164
0.806 5.582 -0.164
1.786 1.640 2.826
ATOMIC_POSITIONS crystal
Cl 0.500 0.500 0.000
Cu 0.500 0.000 0.500
Cl 0.000 0.000 0.000
Zn 0.000 0.500 0.500
! Energy above the lowest structure with this stoichiometry   25.25 kJ/mol of atoms
! Electronic total energy   -2.4415 eV/atom
! Uncorrected formation energy   -0.18 eV per atom
! DOS(E_F)   0.772 states/eV per cell



4.
! ZrIrAu2 PBE relaxed; values from VASP
&SYSTEM
  ibrav = 0, nat = 4, ntyp = 3
/
ATOMIC_SPECIES
Ir 192.22 Ir.upf
Au 196.97 Au.upf
Zr 91.22 Zr.upf
CELL_PARAMETERS angstrom
5.761 0.000 0.036
-3.111 4.849 0.036
0.882 1.613 2.678
ATOMIC_POSITIONS crystal
Ir 0.500 0.000 0.500
Au 0.500 0.500 0.000
Au 0.000 0.000 0.000
Zr 0.000 0.500 0.500
! Energy above the lowest structure with this stoichiometry   28.77 kJ/mol of atoms
! Energy of formation   -0.16 eV/atom
! Electronic total energy   -6.1557 eV/atom
! DOS(E_F)   2.083 states/eV per cell



5.
! Ag2MoPbBr PBE relaxed; values from VASP
&SYSTEM
  ibrav = 0, nat = 5, ntyp = 4
/
ATOMIC_SPECIES
Pb 207.20 Pb.upf
Mo 95.94 Mo.upf
Ag 107.87 Ag.upf
Br 79.90 Br.upf
CELL_PARAMETERS angstrom
5.350 0.000 0.000
0.000 5.928 0.000
0.000 0.000 5.350
ATOMIC_POSITIONS crystal
Pb 0.000 0.000 0.000
Mo 0.500 0.500 0.500
Ag 0.000 0.000 0.500
Br 0.000 0.500 0.000
Ag 0.500 0.000 0.000
! Electronic total energy   -3.1746 eV/atom
! Uncorrected formation energy   1.21 eV per atom
! DOS(E_F)   2.218 states/eV per cell



6.
! Tb2Pr3Sm6Pu PBE relaxed; values from VASP
&SYSTEM
  ibrav = 0, nat = 12, ntyp = 4
/
ATOMIC_SPECIES
Pr 140.91 Pr.upf
Sm 150.36 Sm.upf
Pu 244.00 Pu.upf
Tb 158.93 Tb.upf
CELL_PARAMETERS angstrom
-0.490 -6.123 1.329
2.048 4.017 4.378
-11.600 2.385 1.722
ATOMIC_POSITIONS crystal
Pr 0.833 0.167 0.500
Sm 0.590 0.919 0.756
Pu 0.000 0.000 0.000
Sm 0.248 0.248 0.756
Sm 0.919 0.590 0.756
Tb 0.667 0.333 0.000
Sm 0.081 0.410 0.244
Sm 0.410 0.081 0.244
Tb 0.333 0.667 0.000
Pr 0.500 0.500 0.500
Pr 0.167 0.833 0.500
Sm 0.752 0.752 0.244
! Energy of formation   0.05 eV/atom
! Electronic total energy   -5.4692 eV/atom
! DOS(E_F)   25.371 states/eV per cell



7.
! Pm4S3Cl PBE relaxed; values from VASP
&SYSTEM
  ibrav = 0, nat = 8, ntyp = 3
/
ATOMIC_SPECIES
Cl 35.45 Cl.upf
Pm 145.00 Pm.upf
S 32.06 S.upf
CELL_PARAMETERS angstrom
5.701 0.000 0.000
0.000 5.701 0.000
0.000 0.000 5.701
ATOMIC_POSITIONS crystal
Cl 0.000 0.000 0.000
Pm 0.500 0.000 0.000
S 0.000 0.500 0.500
S 0.500 0.500 0.000
Pm 0.500 0.500 0.500
S 0.500 0.000 0.500
Pm 0.000 0.500 0.000
Pm 0.000 0.000 0.500
! Energy above the lowest structure with this stoichiometry   4.15 kJ/mol of atoms
! Electronic total energy   -5.9704 eV/atom
! Uncorrected formation energy   -1.82 eV per atom
! DOS(E_F)   6.679 states/eV per cell



8.
! ZrZn2BiBr PBE relaxed; values from VASP
&SYSTEM
  ibrav = 0, nat = 5, ntyp = 4
/
ATOMIC_SPECIES
Zn 65.41 Zn.upf
Bi 208.98 Bi.upf
Br 79.90 Br.upf
Zr 91.22 Zr.upf
CELL_PARAMETERS angstrom
5.051 0.000 0.000
0.000 5.108 0.000
0.000 0.000 5.051
ATOMIC_POSITIONS crystal
Zn 0.000 0.000 0.500
Zn 0.500 0.000 0.000
Bi 0.500 0.500 0.500
Br 0.000 0.000 0.000
Zr 0.000 0.500 0.000
! Electronic total energy   -2.7728 eV/atom
! Uncorrected formation energy   0.56 eV per atom
! DOS(E_F)   3.700 states/eV per cell



9.
! ZnCd2B4 PBE relaxed; values from VASP
&SYSTEM
  ibrav = 0, nat = 7, ntyp = 3
/
ATOMIC_SPECIES
Cd 112.41 Cd.upf
Zn 65.41 Zn.upf
B 10.81 B.upf
CELL_PARAMETERS angstrom
4.205 0.000 0.000
0.000 4.205 0.000
2.102 2.102 6.018
ATOMIC_POSITIONS crystal
Cd 0.359 0.359 0.282
Zn 0.000 0.000 0.000
B 0.829 0.829 0.342
B 0.000 0.500 0.000
Cd 0.641 0.641 0.718
B 0.171 0.171 0.658
B 0.500 0.000 0.000
! Energy of formation   1.72 eV/atom
! Electronic total energy   -2.5385 eV/atom
! DOS(E_F)   3.397 states/eV per cell



10.
! AcCu2Au6 PBE relaxed; values from VASP
&SYSTEM
  ibrav = 0, nat = 18, ntyp = 3
/
ATOMIC_SPECIES
Au 196.97 Au.upf
Cu 63.55 Cu.upf
Ac 227.00 Ac.upf
CELL_PARAMETERS angstrom
-3.744 -3.133 6.862
-2.541 -8.028 0.116
4.032 -5.624 4.800
ATOMIC_POSITIONS crystal
Au 0.758 0.242 0.758
Cu 0.125 0.125 0.625
Au 0.008 0.492 0.492
Cu 0.125 0.625 0.125
Au 0.492 0.492 0.008
Au 0.008 0.008 0.492
Ac 0.750 0.750 0.750
Au 0.758 0.758 0.242
Au 0.242 0.758 0.242
Au 0.492 0.008 0.492
Cu 0.125 0.125 0.125
Au 0.758 0.242 0.242
Au 0.242 0.242 0.758
Au 0.008 0.492 0.008
Au 0.242 0.758 0.758
Au 0.492 0.008 0.008
Ac 0.500 0.500 0.500
Cu 0.625 0.125 0.125
! Energy above the lowest structure with this stoichiometry   12.27 kJ/mol of atoms
! Energy of formation   -0.06 eV/atom
! Electronic total energy   -3.6111 eV/atom
! DOS(E_F)   11.737 states/eV per cell



11.
! PrThRu2 PBE relaxed; values from VASP
&SYSTEM
  ibrav = 0, nat = 16, ntyp = 3
/
ATOMIC_SPECIES
Th 232.04 Th.upf
Ru 101.07 Ru.upf
Pr 140.91 Pr.upf
CELL_PARAMETERS angstrom
6.058 0.000 0.000
0.000 5.950 -0.365
0.000 -1.694 10.513
ATOMIC_POSITIONS crystal
Th 0.132 0.040 0.853
Ru 0.664 0.416 0.551
Th 0.868 0.960 0.147
Ru 0.664 0.084 0.949
Th 0.868 0.540 0.353
Ru 0.336 0.584 0.449
Ru 0.120 0.547 0.898
Pr 0.632 0.545 0.853
Ru 0.336 0.916 0.051
Pr 0.368 0.045 0.353
Ru 0.880 0.047 0.398
Th 0.132 0.460 0.647
Pr 0.368 0.455 0.147
Pr 0.632 0.955 0.647
Ru 0.120 0.953 0.602
Ru 0.880 0.453 0.102
! Energy of formation   -0.25 eV/atom
! Electronic total energy   -7.9387 eV/atom
! DOS(E_F)   14.983 states/eV per cell



12.
! Li2Ca2TmIn5 PBE relaxed; values from VASP
&SYSTEM
  ibrav = 0, nat = 20, ntyp = 4
/
ATOMIC_SPECIES
Li 6.94 Li.upf
In 114.82 In.upf
Ca 40.08 Ca.upf
Tm 168.93 Tm.upf
CELL_PARAMETERS angstrom
-2.961 0.893 3.330
-5.251 -8.609 -2.362
5.844 -5.387 6.641
ATOMIC_POSITIONS crystal
Li 0.000 0.383 0.117
In 0.500 0.709 0.435
In 0.500 0.935 0.209
Ca 0.000 0.322 0.822
Tm 0.000 0.000 0.000
In 0.500 0.209 0.065
In 0.500 0.435 0.291
Ca 0.000 0.822 0.678
In 0.500 0.000 0.500
Li 0.000 0.117 0.617
In 0.500 0.791 0.935
In 0.500 0.291 0.565
Ca 0.000 0.178 0.322
In 0.500 0.565 0.709
In 0.500 0.500 0.000
In 0.500 0.065 0.791
Li 0.000 0.883 0.383
Ca 0.000 0.678 0.178
Li 0.000 0.617 0.883
Tm 0.000 0.500 0.500
! Energy of formation   -0.38 eV/atom
! Electronic total energy   -2.9779 eV/atom
! DOS(E_F)   8.105 states/eV per cell



> DOS(E_F) of number 10 (AcCu2Au6)?

11.737 states/eV per cell



> What is the electronic total energy in the first record?

-3.9785 eV/atom